Entry from Alexandria: LiIn2Br6 after structural relaxation (PBE).

Properties
uncorrected formation energy: -20.12 kcal/mol of atoms
space group: C2/c, No. 15
uncorrected energy: -2.809 eV per atom
crystal system: monoclinic

Lattice parameters (Å, degrees): 10.595 10.595 8.618 112.73 112.73 86.00
Fractional coordinates of all 18 atoms:
Li1 0.178 0.822 0.750
Li2 0.822 0.178 0.250
In1 0.203 0.387 0.690
In2 0.387 0.203 0.190
In3 0.613 0.797 0.810
In4 0.797 0.613 0.310
Br1 0.020 0.183 0.545
Br2 0.099 0.620 0.797
Br3 0.183 0.020 0.045
Br4 0.351 0.381 0.493
Br5 0.380 0.901 0.703
Br6 0.381 0.351 0.993
Br7 0.619 0.649 0.007
Br8 0.620 0.099 0.297
Br9 0.649 0.619 0.507
Br10 0.817 0.980 0.955
Br11 0.901 0.380 0.203
Br12 0.980 0.817 0.455


Entry from Alexandria: Li4InBr after structural relaxation (PBE).

Properties
uncorrected formation energy: -3.05 kcal/mol of atoms
space group: F-43m, No. 216
uncorrected energy: -2.143 eV per atom
crystal system: cubic

Lattice parameters (Å, degrees): 5.747 5.747 5.747 60.00 60.00 60.00
Fractional coordinates of all 6 atoms:
Li1 0.376 0.376 0.376
Li2 0.376 0.376 0.871
Li3 0.376 0.871 0.376
Li4 0.871 0.376 0.376
In1 0.750 0.750 0.750
Br1 0.000 0.000 0.000


Entry from Alexandria: Li3In5Br12 after structural relaxation (PBE).

Properties
uncorrected formation energy: -17.91 kcal/mol of atoms
space group: Ia-3d, No. 230
uncorrected energy: -2.752 eV per atom
crystal system: cubic

Lattice parameters (Å, degrees): 15.625 15.625 15.625 109.47 109.47 109.47
Fractional coordinates of all 80 atoms:
Li1 0.125 0.250 0.375
Li2 0.125 0.375 0.750
Li3 0.250 0.375 0.125
Li4 0.250 0.875 0.625
Li5 0.375 0.125 0.250
Li6 0.375 0.750 0.125
Li7 0.625 0.250 0.875
Li8 0.625 0.875 0.750
Li9 0.750 0.125 0.375
Li10 0.750 0.625 0.875
Li11 0.875 0.625 0.250
Li12 0.875 0.750 0.625
In1 0.000 0.000 0.000
In2 0.000 0.000 0.500
In3 0.000 0.500 0.000
In4 0.000 0.500 0.500
In5 0.125 0.750 0.875
In6 0.125 0.875 0.250
In7 0.250 0.125 0.875
In8 0.250 0.625 0.375
In9 0.375 0.250 0.625
In10 0.375 0.625 0.750
In11 0.500 0.000 0.000
In12 0.500 0.000 0.500
In13 0.500 0.500 0.000
In14 0.500 0.500 0.500
In15 0.625 0.375 0.250
In16 0.625 0.750 0.375
In17 0.750 0.375 0.625
In18 0.750 0.875 0.125
In19 0.875 0.125 0.750
In20 0.875 0.250 0.125
Br1 0.042 0.227 0.136
Br2 0.042 0.314 0.906
Br3 0.091 0.727 0.686
Br4 0.091 0.864 0.406
Br5 0.094 0.636 0.409
Br6 0.094 0.958 0.686
Br7 0.136 0.042 0.227
Br8 0.136 0.594 0.909
Br9 0.186 0.227 0.591
Br10 0.186 0.458 0.594
Br11 0.227 0.136 0.042
Br12 0.227 0.591 0.186
Br13 0.273 0.314 0.909
Br14 0.273 0.458 0.364
Br15 0.314 0.906 0.042
Br16 0.314 0.909 0.273
Br17 0.364 0.273 0.458
Br18 0.364 0.591 0.906
Br19 0.406 0.091 0.864
Br20 0.406 0.814 0.542
Br21 0.409 0.094 0.636
Br22 0.409 0.814 0.773
Br23 0.458 0.364 0.273
Br24 0.458 0.594 0.186
Br25 0.542 0.406 0.814
Br26 0.542 0.636 0.727
Br27 0.591 0.186 0.227
Br28 0.591 0.906 0.364
Br29 0.594 0.186 0.458
Br30 0.594 0.909 0.136
Br31 0.636 0.409 0.094
Br32 0.636 0.727 0.542
Br33 0.686 0.091 0.727
Br34 0.686 0.094 0.958
Br35 0.727 0.542 0.636
Br36 0.727 0.686 0.091
Br37 0.773 0.409 0.814
Br38 0.773 0.864 0.958
Br39 0.814 0.542 0.406
Br40 0.814 0.773 0.409
Br41 0.864 0.406 0.091
Br42 0.864 0.958 0.773
Br43 0.906 0.042 0.314
Br44 0.906 0.364 0.591
Br45 0.909 0.136 0.594
Br46 0.909 0.273 0.314
Br47 0.958 0.686 0.094
Br48 0.958 0.773 0.864


Entry from Alexandria: LiIn2Br after structural relaxation (PBE).

Properties
uncorrected formation energy: -12.10 kcal/mol of atoms
energy relative to the lowest polymorph listed for this composition: 0.0 meV/atom
space group: Pm, No. 6
uncorrected energy: -2.791 eV per atom
crystal system: monoclinic

Lattice parameters (Å, degrees): 3.502 3.494 9.170 90.00 98.71 90.00
Fractional coordinates of all 4 atoms:
Li1 0.000 0.000 0.000
In1 0.320 0.000 0.559
In2 0.712 0.500 0.310
Br1 0.470 0.500 0.927